Entry 1:
## Ni2SeF (PBE+U)

Data for an optimized crystal structure of Ni2SeF.

a b c (Å): 5.9103 5.9103 5.5543
angles (deg): 57.86 57.86 90.00
Last column: nearest neighbours and their distance in Å.
Positions (direct):
1 Ni 0.5916 0.1250 0.2500  2 F 2.16, 2 Se 2.41
2 Ni 0.1584 0.6250 0.2500  2 F 2.16, 2 Se 2.41
3 Ni 0.3750 0.4084 0.7500  2 F 2.16, 2 Se 2.41
4 Ni 0.8750 0.8416 0.7500  2 F 2.16, 2 Se 2.41
5 Se 0.0000 0.0000 0.0000  4 Ni 2.41
6 Se 0.7500 0.2500 0.5000  4 Ni 2.41
7 F 0.5000 0.5000 0.0000  4 Ni 2.16
8 F 0.2500 0.7500 0.5000  4 Ni 2.16

Output
Space group   I-42d
Volume   16.0 Å³/atom
VASP energy   -24.0 eV/cell
ρ   5.60 Mg/m³
Offset from the most stable computed form   0 meV per atom

---

Entry 2:
## NiSeF6 (PBE+U)

Data for an optimized crystal structure of NiSeF6.

a b c (Å): 5.4083 5.4083 5.3211
angles (deg): 60.57 60.57 62.46
Last column: nearest neighbours and their distance in Å.
Positions (direct):
1 Ni 0.0000 0.0000 0.0000  6 F 2.02-2.03
2 Se 0.5000 0.5000 0.5000  6 F 1.95-1.97
3 F 0.7453 0.7453 0.3764  1 Se 1.97, 1 Ni 2.03
4 F 0.3153 0.8061 0.1942  1 Se 1.95, 1 Ni 2.02
5 F 0.2547 0.2547 0.6236  1 Se 1.97, 1 Ni 2.03
6 F 0.1939 0.6847 0.8058  1 Se 1.95, 1 Ni 2.02
7 F 0.6847 0.1939 0.8058  1 Se 1.95, 1 Ni 2.02
8 F 0.8061 0.3153 0.1942  1 Se 1.95, 1 Ni 2.02

Output
Space group   C2/m
Volume   14.1 Å³/atom
VASP energy   -31.8 eV/cell
ρ   3.70 Mg/m³

---

Entry 3:
## Tl2NiSeF (PBE+U)

Data for an optimized crystal structure of Tl2NiSeF.

a b c (Å): 6.1070 4.2625 6.1070
angles (deg): 90.00 90.00 90.00
Last column: nearest neighbours and their distance in Å.
Positions (direct):
1 Ni 0.0000 0.5000 0.0000  2 Se 2.13
2 Tl 0.0000 0.0000 0.5000  2 Se 3.05
3 Tl 0.5000 0.0000 0.0000  2 Se 3.05
4 Se 0.0000 0.0000 0.0000  2 Ni 2.13
5 F 0.5000 0.5000 0.5000  8 Tl 3.72

Output
Space group   P4/mmm
Volume   31.8 Å³/atom
VASP energy   -13.1 eV/cell
ρ   5.91 Mg/m³

---

Entry 4:
## Zr2NiSeF (PBE+U)

Data for an optimized crystal structure of Zr2NiSeF.

a b c (Å): 4.2922 4.9370 4.2922
angles (deg): 90.00 90.00 90.00
Last column: nearest neighbours and their distance in Å.
Positions (direct):
1 Ni 0.5000 0.5000 0.5000  4 Se 3.04, 8 Zr 3.27
2 Se 0.0000 0.5000 0.0000  2 F 2.47
3 Zr 0.0000 0.0000 0.5000  2 F 2.15
4 Zr 0.5000 0.0000 0.0000  2 F 2.15
5 F 0.0000 0.0000 0.0000  4 Zr 2.15

Output
Space group   P4/mmm
Volume   18.2 Å³/atom
VASP energy   -25.8 eV/cell
ρ   6.19 Mg/m³

---

Entry 5:
## SiNiF5 (PBE+U)

Data for an optimized crystal structure of SiNiF5.

a b c (Å): 5.7071 5.7062 7.6415
angles (deg): 107.17 107.18 89.32
Last column: nearest neighbours and their distance in Å.
Positions (direct):
1 Si 0.9649 0.5347 0.2499  4 F 1.58-1.59
2 Si 0.0351 0.4653 0.7501  4 F 1.58-1.59
3 Ni 0.5000 0.0000 0.0000  2 F 1.93
4 Ni 0.5000 0.0000 0.5000  2 F 1.93
5 F 0.8448 0.6490 0.0815  1 Si 1.59
6 F 0.2532 0.5984 0.3263  1 Si 1.58
7 F 0.4626 0.0369 0.2499  2 Ni 1.93
8 F 0.8506 0.6548 0.4182  1 Si 1.59
9 F 0.1494 0.3452 0.5818  1 Si 1.59
10 F 0.9012 0.2463 0.1734  1 Si 1.58
11 F 0.0988 0.7537 0.8266  1 Si 1.58
12 F 0.5374 0.9631 0.7501  2 Ni 1.93
13 F 0.7468 0.4016 0.6737  1 Si 1.58
14 F 0.1552 0.3510 0.9185  1 Si 1.59

Output
Space group   C2/c
Volume   16.2 Å³/atom
VASP energy   -68.4 eV/cell
ρ   2.67 Mg/m³

---

Entry 6:
## SiNi2F (PBE+U)

Data for an optimized crystal structure of SiNi2F.

a b c (Å): 3.9240 3.9240 3.9240
angles (deg): 60.00 60.00 60.00
Last column: nearest neighbours and their distance in Å.
Positions (direct):
1 Ni 0.2500 0.2500 0.2500  4 F 2.40, 4 Si 2.40
2 Ni 0.7500 0.7500 0.7500  4 F 2.40, 4 Si 2.40
3 Si 0.5000 0.5000 0.5000  8 Ni 2.40
4 F 0.0000 0.0000 0.0000  8 Ni 2.40

Output
Space group   Fm-3m
Volume   10.7 Å³/atom
VASP energy   -11.4 eV/cell
ρ   6.39 Mg/m³
Offset from the most stable computed form   220 meV per atom

---

Entry 7:
## SiNi2F2 (PBE+U)

Data for an optimized crystal structure of SiNi2F2.

a b c (Å): 6.6988 6.6988 2.6301
angles (deg): 90.00 90.00 90.00
Last column: nearest neighbours and their distance in Å.
Positions (direct):
1 Ni 0.1892 0.6892 0.5000  2 F 2.17
2 Ni 0.6892 0.8108 0.5000  2 F 2.17
3 Ni 0.8108 0.3108 0.5000  2 F 2.17
4 Ni 0.3108 0.1892 0.5000  2 F 2.17
5 Si 0.0000 0.0000 0.0000  2 Si 2.63, 4 F 2.63, 8 Ni 2.77
6 Si 0.5000 0.5000 0.0000  2 Si 2.63, 4 F 2.63, 8 Ni 2.77
7 F 0.3712 0.8712 0.0000  2 Ni 2.17
8 F 0.8712 0.6288 0.0000  2 Ni 2.17
9 F 0.6288 0.1288 0.0000  2 Ni 2.17
10 F 0.1288 0.3712 0.0000  2 Ni 2.17

Output
Space group   P4/mbm
Volume   11.8 Å³/atom
VASP energy   -32.4 eV/cell
ρ   5.16 Mg/m³
Offset from the most stable computed form   0 meV per atom

---

Entry 8:
## Si2NiF2 (PBE+U)

Data for an optimized crystal structure of Si2NiF2.

a b c (Å): 7.1227 7.1227 2.4764
angles (deg): 90.00 90.00 90.00
Last column: nearest neighbours and their distance in Å.
Positions (direct):
1 Ni 0.0000 0.0000 0.0000  2 Ni 2.48
2 Ni 0.5000 0.5000 0.0000  2 Ni 2.48
3 Si 0.2471 0.7471 0.5000  2 F 1.89
4 Si 0.7471 0.7529 0.5000  2 F 1.89
5 Si 0.7529 0.2529 0.5000  2 F 1.89
6 Si 0.2529 0.2471 0.5000  2 F 1.89
7 F 0.3885 0.8885 0.0000  2 Si 1.89
8 F 0.8885 0.6115 0.0000  2 Si 1.89
9 F 0.6115 0.1115 0.0000  2 Si 1.89
10 F 0.1115 0.3885 0.0000  2 Si 1.89

Output
Space group   P4/mbm
Volume   12.6 Å³/atom
VASP energy   -38.8 eV/cell
ρ   4.04 Mg/m³
Offset from the most stable computed form   0 meV per atom